This record from the Alexandria database describes a geometry-optimized CaSbP2 structure. The functional is PBE-GGA.

POSCAR file:
```
CaSbP2
1.0
-2.175 2.203 7.109
0.047 -0.744 7.718
1.541 2.634 7.127
P Sb Ca
2 1 1
Direct
0.262 0.262 0.262
0.985 0.985 0.985
0.514 0.514 0.514
0.739 0.739 0.739
```

total energy = -17.6 eV for the cell shown
density of states at the Fermi level = 2.8 states/eV/cell
size of the total moment = 0.000 μB per cell
ρ = 4.12 g/cm³
volume = 22.57 Å³/atom
space group = R3m (160)
uncorrected formation energy = -0.67 eV per formula unit

---

This record from the Alexandria database describes a geometry-optimized Fe3Co5 structure. The functional is PBE-GGA.

POSCAR file:
```
Fe3Co5
1.0
-2.325 5.760 -2.988
-3.475 -5.908 -0.731
-2.428 0.964 3.748
Fe Co
6 10
Direct
0.403 0.000 0.750
0.000 0.597 0.250
0.000 0.403 0.750
0.403 0.403 0.250
0.597 0.597 0.750
0.597 0.000 0.250
0.000 0.774 0.750
0.774 0.000 0.750
0.667 0.333 0.000
0.333 0.667 0.500
0.774 0.774 0.250
0.226 0.226 0.750
0.226 0.000 0.250
0.000 0.226 0.250
0.333 0.667 0.000
0.667 0.333 0.500
```

E_form = 0.18 eV/atom
total energy = -118.9 eV for the cell shown
density of states at the Fermi level = 15.1 states/eV/cell
size of the total moment = 32.884 μB per cell
ρ = 8.16 g/cm³
volume = 11.75 Å³/atom
space group = P6_3/mcm (193)

---

This record from the Alexandria database describes a geometry-optimized LiGe structure. The functional is PBE-GGA.

POSCAR file:
```
LiGe
1.0
7.409 0.000 0.000
-3.704 6.416 0.000
0.000 0.000 4.437
Li Ge
6 6
Direct
0.965 0.214 0.750
0.214 0.249 0.250
0.035 0.786 0.250
0.249 0.035 0.750
0.786 0.751 0.750
0.751 0.965 0.250
0.524 0.903 0.750
0.378 0.476 0.750
0.476 0.097 0.250
0.903 0.378 0.250
0.622 0.524 0.250
0.097 0.622 0.750
```

E_form = -0.13 eV/atom
total energy = -40.7 eV for the cell shown
density of states at the Fermi level = 3.1 states/eV/cell
size of the total moment = 0.000 μB per cell
ρ = 3.76 g/cm³
volume = 17.58 Å³/atom
space group = P6_3/m (176)

---

This record from the Alexandria database describes a geometry-optimized PrErPd structure. The functional is PBE-GGA.

POSCAR file:
```
PrErPd
1.0
-1.702 -0.100 3.165
0.037 -3.593 -0.094
6.310 1.826 1.409
Pd Er Pr
1 1 1
Direct
0.682 0.682 0.363
0.297 0.297 0.595
0.021 0.021 0.042
```

E_form = -0.52 eV/atom
total energy = -16.1 eV for the cell shown
density of states at the Fermi level = 3.0 states/eV/cell
excess energy over the best structure of this formula in the dataset = 0.066 eV/atom
size of the total moment = 0.000 μB per cell
ρ = 8.57 g/cm³
volume = 26.79 Å³/atom
space group = I4mm (107)

---

This record from the Alexandria database describes a geometry-optimized Tb4AlTe2Se structure. The functional is PBE-GGA.

POSCAR file:
```
Tb4AlTe2Se
1.0
4.184 0.000 0.000
0.000 7.434 0.167
0.000 -2.563 7.126
Tb Te Al Se
4 2 1 1
Direct
0.500 0.754 0.776
0.500 0.246 0.224
0.000 0.258 0.768
0.000 0.742 0.232
0.000 0.500 0.500
0.500 0.000 0.500
0.500 0.500 0.000
0.000 0.000 0.000
```

total energy = -41.6 eV for the cell shown
density of states at the Fermi level = 3.4 states/eV/cell
size of the total moment = 0.000 μB per cell
ρ = 7.41 g/cm³
volume = 27.93 Å³/atom
space group = P2/m (10)
uncorrected formation energy = -9.57 eV per formula unit

---

This record from the Alexandria database describes a geometry-optimized MgAg4 structure. The functional is PBE-GGA.

POSCAR file:
```
MgAg4
1.0
-2.407 -4.017 -1.433
3.034 -2.769 2.666
-2.997 0.422 3.850
Ag Mg
4 1
Direct
0.500 0.000 0.500
0.500 0.500 0.000
0.000 0.000 0.000
0.000 0.500 0.500
0.500 0.500 0.500
```

E_form = 0.66 eV/atom
total energy = -9.7 eV for the cell shown
density of states at the Fermi level = 3.0 states/eV/cell
size of the total moment = 0.000 μB per cell
ρ = 6.45 g/cm³
volume = 23.49 Å³/atom
space group = Pm-3m (221)